# 1
# InOsRh2 GGA-PBE optimized geometry
data_InOsRh2
_symmetry_space_group_name_H-M 'P 1'
_symmetry_Int_Tables_number 1
_symmetry_space_group_name_Hall 'P 1'
_cell_length_a 4.779
_cell_length_b 4.779
_cell_length_c 2.828
_cell_angle_alpha 90.00
_cell_angle_beta 90.00
_cell_angle_gamma 106.53
loop_
_atom_site_label
_atom_site_type_symbol
_atom_site_fract_x
_atom_site_fract_y
_atom_site_fract_z
In1 In 0.000 0.000 0.500
Os1 Os 0.500 0.500 0.500
Rh1 Rh 0.000 0.500 0.000
Rh2 Rh 0.500 0.000 0.000
# Space group: Cmmm
# Volume, Å³ per atom: 15.477
# Energy, eV per atom: -7.085
# M_tot, Bohr magnetons per cell: 0.029

# 2
# LaZnRu GGA-PBE optimized geometry
data_LaZnRu
_symmetry_space_group_name_H-M 'P 1'
_symmetry_Int_Tables_number 1
_symmetry_space_group_name_Hall 'P 1'
_cell_length_a 4.974
_cell_length_b 5.917
_cell_length_c 5.917
_cell_angle_alpha 68.86
_cell_angle_beta 65.18
_cell_angle_gamma 65.17
loop_
_atom_site_label
_atom_site_type_symbol
_atom_site_fract_x
_atom_site_fract_y
_atom_site_fract_z
Zn1 Zn 0.211 0.914 0.308
Zn2 Zn 0.711 0.621 0.601
Ru1 Ru 0.461 0.268 0.955
Ru2 Ru 0.961 0.268 0.955
La1 La 0.461 0.268 0.455
La2 La 0.961 0.768 0.955
# Space group: Imma
# Volume, Å³ per atom: 23.301
# Energy, eV per atom: -5.357
# M_tot, Bohr magnetons per cell: 0.000